1.
Compound: AgI
Source: the Open Quantum Materials Database
Functional: PBE
Structure: relaxed

Results
electronic total energy = -2.308 eV/atom

Structure (POSCAR):
```
AgI
1.0
4.222 0.000 0.000
0.000 4.222 0.000
0.000 0.000 13.894
Ag I
4 4
Cartesian
0.000 0.000 2.142
0.000 0.000 11.752
2.111 2.111 4.805
2.111 2.111 9.089
0.000 0.000 5.080
0.000 0.000 8.814
2.111 2.111 1.867
2.111 2.111 12.027
```

2.
Compound: AlW2C
Source: the Open Quantum Materials Database
Functional: PBE
Structure: relaxed

Results
spin magnetization = 0.00 μB per atom
electronic total energy = -9.693 eV/atom

Structure (POSCAR):
```
AlW2C
1.0
3.007 0.000 0.000
0.000 5.207 0.000
0.000 0.000 13.689
Al W C
4 8 4
Cartesian
0.000 0.873 3.422
0.000 4.335 10.267
1.503 1.731 10.267
1.503 3.476 3.422
0.000 0.867 8.088
0.000 0.867 12.446
0.000 4.340 1.243
0.000 4.340 5.601
1.503 1.737 1.243
1.503 1.737 5.601
1.503 3.470 8.088
1.503 3.470 12.446
0.000 2.604 0.000
0.000 2.604 6.845
1.503 0.000 0.000
1.503 0.000 6.845
```

3.
Compound: Zr2Mo
Source: the Open Quantum Materials Database
Functional: PBE
Structure: relaxed

Results
ΔE_f = 205 meV per atom
offset from the most stable computed form = 188.8 meV/atom
spin magnetization = 0.00 μB per atom
electronic total energy = -9.109 eV/atom

Structure (POSCAR):
```
Zr2Mo
1.0
8.130 0.000 0.000
0.000 5.724 0.000
0.000 0.000 5.208
Zr Mo
8 4
Cartesian
1.386 0.788 1.302
1.386 4.937 3.906
2.679 2.074 3.906
2.679 3.650 1.302
5.451 2.074 3.906
5.451 3.650 1.302
6.744 0.788 1.302
6.744 4.937 3.906
0.000 2.139 3.906
0.000 3.585 1.302
4.065 0.723 1.302
4.065 5.001 3.906
```

4.
Compound: RbCoAgTe2Se
Source: the Open Quantum Materials Database
Functional: PBE
Structure: relaxed

Results
spin magnetization = 0.15 μB per atom
electronic total energy = -3.638 eV/atom

Structure (POSCAR):
```
RbCoAgTe2Se
1.0
1.948 -8.122 0.000
1.948 8.122 0.000
0.000 0.000 10.641
Rb Co Ag Te Se
2 2 2 4 2
Cartesian
1.948 4.155 7.981
1.948 -4.155 2.660
0.000 0.000 0.000
0.000 0.000 5.320
1.948 0.737 2.660
1.948 -0.737 7.981
1.948 1.726 0.141
1.948 1.726 5.179
1.948 -1.726 5.461
1.948 -1.726 10.500
1.948 7.074 2.660
1.948 -7.074 7.981
```

5.
Compound: Dy6Zn23
Source: the Open Quantum Materials Database
Functional: PBE
Structure: relaxed

Results
ΔE_f = -312 meV per atom
spin magnetization = 0.00 μB per atom
electronic total energy = -2.267 eV/atom

Structure (POSCAR):
```
Dy6Zn23
1.0
0.000 6.323 6.323
6.323 0.000 6.323
6.323 6.323 0.000
Dy Zn
6 23
Cartesian
6.323 6.323 2.604
6.323 2.604 6.323
10.042 6.323 6.323
2.604 6.323 6.323
6.323 10.042 6.323
6.323 6.323 10.042
3.161 3.161 0.000
3.161 0.000 3.161
6.323 3.161 3.161
7.875 4.771 4.771
2.164 2.164 2.164
4.158 4.158 2.164
4.158 2.164 4.158
4.771 4.771 4.771
7.875 7.875 4.771
7.875 4.771 7.875
2.164 4.158 4.158
0.000 3.161 3.161
3.161 6.323 3.161
3.161 3.161 6.323
6.323 6.323 6.323
10.481 8.487 8.487
4.771 7.875 4.771
4.771 4.771 7.875
7.875 7.875 7.875
8.487 10.481 8.487
8.487 8.487 10.481
10.481 10.481 10.481
4.771 7.875 7.875
```

6.
Compound: InMo4AsC2
Source: the Open Quantum Materials Database
Functional: PBE
Structure: relaxed

Results
spin magnetization = 0.00 μB per atom
electronic total energy = -8.684 eV/atom

Structure (POSCAR):
```
InMo4AsC2
1.0
3.175 0.000 0.000
-1.588 2.750 0.000
0.000 0.000 13.056
In Mo As C
1 4 1 2
Cartesian
0.000 0.000 0.000
0.000 0.000 4.583
0.000 0.000 8.473
1.588 0.917 2.375
1.588 0.917 10.681
1.588 0.917 6.528
0.000 1.833 3.429
0.000 1.833 9.627
```